DFT (PBE) results for a relaxed Ho7Al2Zn2 crystal.

Output
ΔH_f (0 K): -5 meV/atom
volume: 27.5 Å³ per atom
crystal system: orthorhombic
calculated total energy: -42.14 eV for the cell shown

Lattice parameters (Å, degrees): 6.6080 6.6080 7.3882 90.00 90.00 110.32
With the nearest neighbours (Å) after each atom.
Element x y z (fractional)
1 Ho 0.0000 0.0000 0.0000  2 Zn 3.15
2 Ho 0.0000 0.5000 0.2813  2 Zn 2.84
3 Ho 0.0000 0.5000 0.7187  2 Zn 2.84
4 Ho 0.5000 0.0000 0.2813  2 Zn 2.84
5 Ho 0.5000 0.0000 0.7187  2 Zn 2.84
6 Ho 0.5000 0.5000 0.2541  2 Zn 2.95, 2 Al 3.08
7 Ho 0.5000 0.5000 0.7459  2 Zn 2.95, 2 Al 3.08
8 Al 0.1714 0.1714 0.5000  1 Al 2.59
9 Al 0.8286 0.8286 0.5000  1 Al 2.59
10 Zn 0.2901 0.7099 0.0000  7 Ho 2.84-3.15
11 Zn 0.7099 0.2901 0.0000  7 Ho 2.84-3.15